Record 1
Pm2SbTe2 | Alexandria via LeMat-Bulk | PBE-GGA | relaxed; DFT total energy = -5.0633 eV/atom; DOS at the Fermi energy = 0.82 states/eV/atom; formation energy from raw total energies = -5.410 eV per formula unit
1.0
2.2470 1.2973 10.5462
-2.2470 1.2973 10.5462
0.0000 -2.5946 10.5462
Pm Sb Te
2 1 2
direct
0.1059 0.1059 0.1059
0.8941 0.8941 0.8941
0.5000 0.5000 0.5000
0.2804 0.2804 0.2804
0.7196 0.7196 0.7196

=====

Record 2
ReTeP3 | Alexandria via LeMat-Bulk | PBE-GGA | relaxed; DFT total energy = -4.0925 eV/atom; DOS at the Fermi energy = 1.82 states/eV/atom; formation energy from raw total energies = 11.357 eV per formula unit; offset from the most stable computed form = 1.7482 eV per atom
1.0
4.8055 0.0000 0.0000
0.0000 4.8055 0.0000
0.0000 0.0000 4.8055
Re Te P
1 1 3
direct
0.0000 0.0000 0.0000
0.5000 0.5000 0.5000
0.0000 0.5000 0.5000
0.5000 0.0000 0.5000
0.5000 0.5000 0.0000

=====

Record 3
Tb2PmAs | Alexandria via LeMat-Bulk | PBE-GGA | relaxed; DFT total energy = -5.2824 eV/atom; DOS at the Fermi energy = 0.93 states/eV/atom; formation energy from the elements = -617 meV/atom
1.0
1.9381 1.1190 9.5077
-1.9381 1.1190 9.5077
0.0000 -2.2379 9.5077
Tb Pm As
2 1 1
direct
0.2277 0.2277 0.2277
0.7723 0.7723 0.7723
0.0000 0.0000 0.0000
0.5000 0.5000 0.5000

=====

Record 4
K3CaFe | Alexandria via LeMat-Bulk | PBE-GGA | relaxed; DFT total energy = -1.5307 eV/atom; DOS at the Fermi energy = 2.12 states/eV/atom; formation energy from the elements = 1221 meV/atom; offset from the most stable computed form = 0.3807 eV per atom
1.0
7.5107 0.0000 0.0000
0.0000 7.5107 0.0000
0.0000 0.0000 7.5107
K Ca Fe
3 1 1
direct
0.0000 0.0000 0.5000
0.0000 0.5000 0.0000
0.5000 0.0000 0.0000
0.0000 0.0000 0.0000
0.5000 0.5000 0.5000